Entry 1:
A geometry-optimized AlIn2HgS6 structure. Source: Alexandria via LeMat-Bulk, functional PBE.

Geometry as POSCAR:
```
AlIn2HgS6
1.0
6.5730 -6.7435 0.0000
6.5730 6.7435 0.0000
-3.0922 0.0000 6.1476
Al In Hg S
2 4 2 12
Cartesian
4.2538 4.5489 4.6107 Al
5.7999 -4.5489 1.5369 Al
3.0663 1.1870 2.1000 In
1.5202 -1.1870 5.1737 In
8.5335 1.1870 0.9738 In
6.9874 -1.1870 4.0476 In
5.7999 4.1190 1.5369 Hg
4.2538 -4.1190 4.6107 Hg
1.0130 1.0389 0.7413 S
3.5787 3.5990 2.6263 S
-0.5331 -1.0389 3.8151 S
4.9393 0.8185 0.4547 S
8.0211 3.5990 0.4475 S
3.3932 -0.8185 3.5285 S
6.6605 0.8185 2.6191 S
2.0325 -3.5990 5.7001 S
5.1144 -0.8185 5.6929 S
10.5868 1.0389 2.3325 S
6.4750 -3.5990 3.5212 S
9.0406 -1.0389 5.4063 S
```

Properties
final energy	-3.843	eV per atom
magnetic moment	1.01	μB/f.u.
crystal system	monoclinic
ΔE_f (raw)	-414	meV per atom
volume	545.0	Å³/cell

Entry 2:
A geometry-optimized Cs6Rb2NaS structure. Source: Alexandria via LeMat-Bulk, functional PBE.

Geometry as POSCAR:
```
Cs6Rb2NaS
1.0
7.6496 -7.6525 0.0000
7.6496 7.6525 0.0000
-7.6259 0.0000 7.6611
Cs Rb Na S
6 2 1 1
Cartesian
0.0000 0.0000 0.0000 Cs
-3.3743 0.0000 3.3971 Cs
7.6563 -4.2657 3.3919 Cs
7.6563 4.2657 3.3919 Cs
0.0130 0.0000 6.7826 Cs
3.4013 0.0000 3.3876 Cs
3.8307 3.8325 7.2229 Rb
3.8307 -3.8325 7.2229 Rb
7.6688 0.0000 3.3902 Na
0.0140 0.0000 3.3912 S
```

Properties
final energy	-1.523	eV per atom
magnetic moment	0.00	μB/f.u.
crystal system	monoclinic
ΔE_f (raw)	-273	meV per atom
volume	896.9	Å³/cell

Entry 3:
A geometry-optimized MnNb2VS structure. Source: Alexandria via LeMat-Bulk, functional PBE.

Geometry as POSCAR:
```
MnNb2VS
1.0
4.8153 0.0000 0.0000
0.0000 4.8153 0.0000
0.0000 0.0000 3.9831
Mn Nb V S
1 2 1 1
Cartesian
0.0000 0.0000 0.0000 Mn
0.0000 2.4076 1.9916 Nb
2.4076 0.0000 1.9916 Nb
0.0000 0.0000 1.9916 V
2.4076 2.4076 0.0000 S
```

Properties
final energy	-7.435	eV per atom
magnetic moment	1.38	μB/f.u.
crystal system	tetragonal
ΔE_f (raw)	1076	meV per atom
volume	92.4	Å³/cell

Entry 4:
A geometry-optimized LaBe2OsSe structure. Source: Alexandria via LeMat-Bulk, functional PBE.

Geometry as POSCAR:
```
LaBe2OsSe
1.0
4.3925 0.0000 0.0000
0.0000 4.3925 0.0000
0.0000 0.0000 5.4027
La Be Os Se
1 2 1 1
Cartesian
0.0000 0.0000 0.0000 La
0.0000 2.1962 2.7013 Be
2.1962 0.0000 2.7013 Be
0.0000 0.0000 2.7013 Os
2.1962 2.1962 0.0000 Se
```

Properties
final energy	-5.373	eV per atom
magnetic moment	0.00	μB/f.u.
crystal system	tetragonal
ΔE_f (raw)	46	meV per atom
volume	104.2	Å³/cell

Q: Among the records above, which one has the lowest volume?
A: MnNb2VS

Q: The lowest final energy belongs to which entry?
A: MnNb2VS

What did the second record say?
A geometry-optimized Cs6Rb2NaS structure. Source: Alexandria via LeMat-Bulk, functional PBE.

Geometry as POSCAR:
```
Cs6Rb2NaS
1.0
7.6496 -7.6525 0.0000
7.6496 7.6525 0.0000
-7.6259 0.0000 7.6611
Cs Rb Na S
6 2 1 1
Cartesian
0.0000 0.0000 0.0000 Cs
-3.3743 0.0000 3.3971 Cs
7.6563 -4.2657 3.3919 Cs
7.6563 4.2657 3.3919 Cs
0.0130 0.0000 6.7826 Cs
3.4013 0.0000 3.3876 Cs
3.8307 3.8325 7.2229 Rb
3.8307 -3.8325 7.2229 Rb
7.6688 0.0000 3.3902 Na
0.0140 0.0000 3.3912 S
```

Properties
final energy	-1.523	eV per atom
magnetic moment	0.00	μB/f.u.
crystal system	monoclinic
ΔE_f (raw)	-273	meV per atom
volume	896.9	Å³/cell